No. 1
{"formula": "La8OsRu3Br4", "functional": "PBE-GGA", "state": "relaxed", "lattice_angstrom": [[8.3661, 0.0000, 0.0000], [0.0000, 9.2098, 0.5861], [-4.1830, -4.1803, 5.9176]], "species": ["La", "La", "La", "La", "La", "La", "La", "La", "Os", "Ru", "Ru", "Ru", "Br", "Br", "Br", "Br"], "fractional_positions": [[0.2316, 0.6953, 0.9641], [0.2316, 0.6953, 0.4632], [0.2686, 0.3060, 0.5371], [0.7326, 0.6953, 0.9641], [0.2674, 0.3047, 0.0359], [0.7314, 0.6940, 0.4629], [0.7684, 0.3047, 0.5368], [0.7684, 0.3047, 0.0359], [0.0000, 0.5000, 0.0000], [0.5000, 0.5000, 0.0000], [0.5000, 0.5000, 0.5000], [0.0000, 0.5000, 0.5000], [0.5000, 0.0000, 0.0000], [0.5000, 0.0000, 0.5000], [0.0000, 0.0000, 0.0000], [0.0000, 0.0000, 0.5000]], "raw_formation_energy_mev_per_atom": -885}

---

No. 2
{"formula": "La6Os2RuBr3", "functional": "PBE-GGA", "state": "relaxed", "lattice_angstrom": [[7.2710, -0.0008, 0.0001], [-3.6344, 6.2975, 0.0001], [-1.2128, -2.1000, 7.8319]], "species": ["La", "La", "La", "La", "La", "La", "Os", "Os", "Ru", "Br", "Br", "Br"], "fractional_positions": [[0.9350, 0.6010, 0.8052], [0.7311, 0.7311, 0.1950], [0.0650, 0.3990, 0.1948], [0.6010, 0.9350, 0.8052], [0.2689, 0.2689, 0.8050], [0.3990, 0.0650, 0.1948], [0.3334, 0.6666, 0.0000], [0.6666, 0.3334, 0.0000], [0.0000, 0.0000, 0.0000], [0.1664, 0.8336, 0.5000], [0.8336, 0.1664, 0.5000], [0.5000, 0.5000, 0.5000]], "raw_formation_energy_mev_per_atom": -841}

---

No. 3
{"formula": "La6OsRu2Br3", "functional": "PBE-GGA", "state": "relaxed", "lattice_angstrom": [[-6.2725, -1.3879, -3.3586], [5.0127, -5.2010, 0.6113], [-2.7420, -0.0479, 7.7489]], "species": ["La", "La", "La", "La", "La", "La", "Os", "Ru", "Ru", "Br", "Br", "Br"], "fractional_positions": [[0.9350, 0.6022, 0.8051], [0.7323, 0.7323, 0.1953], [0.0650, 0.3978, 0.1949], [0.6022, 0.9350, 0.8051], [0.2677, 0.2677, 0.8047], [0.3978, 0.0650, 0.1949], [0.0000, 0.0000, 0.0000], [0.3335, 0.6665, 0.0000], [0.6665, 0.3335, 0.0000], [0.1673, 0.8327, 0.5000], [0.8327, 0.1673, 0.5000], [0.5000, 0.5000, 0.5000]], "raw_formation_energy_mev_per_atom": -876}

---

No. 4
{"formula": "La4OsSBr2", "functional": "PBE-GGA", "state": "relaxed", "lattice_angstrom": [[4.1515, 0.0000, 0.0000], [0.0000, 7.4665, 0.2275], [0.0000, -2.5279, 7.5301]], "species": ["La", "La", "La", "La", "Os", "S", "Br", "Br"], "fractional_positions": [[0.5000, 0.2418, 0.2030], [0.5000, 0.7582, 0.7970], [0.0000, 0.2799, 0.7974], [0.0000, 0.7201, 0.2026], [0.5000, 0.5000, 0.0000], [0.0000, 0.0000, 0.0000], [0.5000, 0.0000, 0.5000], [0.0000, 0.5000, 0.5000]], "raw_formation_energy_mev_per_atom": -1292}

---

No. 5
{"formula": "La8Os3SBr4", "functional": "PBE-GGA", "state": "relaxed", "lattice_angstrom": [[-1.4531, -7.8734, 2.7486], [5.1595, -3.3479, -6.8625], [3.5890, 5.6839, 5.1441]], "species": ["La", "La", "La", "La", "La", "La", "La", "La", "Os", "Os", "Os", "S", "Br", "Br", "Br", "Br"], "fractional_positions": [[0.2389, 0.6946, 0.9556], [0.2389, 0.6946, 0.4778], [0.2658, 0.2975, 0.5317], [0.7167, 0.6946, 0.9556], [0.2833, 0.3054, 0.0444], [0.7342, 0.7025, 0.4683], [0.7611, 0.3054, 0.5222], [0.7611, 0.3054, 0.0444], [0.5000, 0.5000, 0.0000], [0.5000, 0.5000, 0.5000], [0.0000, 0.5000, 0.5000], [0.0000, 0.5000, 0.0000], [0.5000, 0.0000, 0.0000], [0.5000, 0.0000, 0.5000], [0.0000, 0.0000, 0.0000], [0.0000, 0.0000, 0.5000]], "raw_formation_energy_mev_per_atom": -1071}

---

No. 6
{"formula": "La8SbOs3Br4", "functional": "PBE-GGA", "state": "relaxed", "lattice_angstrom": [[8.6723, 0.0000, 0.0000], [0.0000, 9.2133, 0.3748], [-4.3362, -4.3345, 6.1343]], "species": ["La", "La", "La", "La", "La", "La", "La", "La", "Sb", "Os", "Os", "Os", "Br", "Br", "Br", "Br"], "fractional_positions": [[0.2470, 0.6976, 0.9508], [0.2470, 0.6975, 0.4940], [0.2651, 0.2952, 0.5302], [0.7038, 0.6976, 0.9508], [0.2962, 0.3024, 0.0492], [0.7349, 0.7048, 0.4698], [0.7530, 0.3025, 0.5060], [0.7530, 0.3024, 0.0492], [0.0000, 0.5000, 0.0000], [0.5000, 0.5000, 0.0000], [0.5000, 0.5000, 0.5000], [0.0000, 0.5000, 0.5000], [0.5000, 0.0000, 0.0000], [0.5000, 0.0000, 0.5000], [0.0000, 0.0000, 0.0000], [0.0000, 0.0000, 0.5000]], "raw_formation_energy_mev_per_atom": -936}